# LiPaCuI6 PBE relaxed
data_LiPaCuI6
_chemical_formula_sum 'Li2 Pa2 Cu2 I12'
_cell_length_a 7.3765
_cell_length_b 7.3765
_cell_length_c 14.0317
_cell_angle_alpha 90.00
_cell_angle_beta 90.00
_cell_angle_gamma 120.00
_space_group_name_H-M_alt 'P -3 1 c'
_space_group_IT_number 163
_space_group_name_Hall '-P 3 2c'
loop_
_atom_site_label
_atom_site_type_symbol
_atom_site_fract_x
_atom_site_fract_y
_atom_site_fract_z
_atom_site_occupancy
Li1 Li 0.0000 0.0000 0.0000 1
Pa1 Pa 0.3333 0.6667 0.2500 1
Cu1 Cu 0.3333 0.6667 0.7500 1
I1 I 0.0132 0.3469 0.6270 1
# total DFT energy (no corrections): -3.49 eV/atom
# V: 661.20 Å³/cell
# crystal system: trigonal

# BeNb5 PBE relaxed
data_BeNb5
_chemical_formula_sum 'Be2 Nb10'
_cell_length_a 4.404
_cell_length_b 13.545
_cell_length_c 3.423
_cell_angle_alpha 90.00
_cell_angle_beta 90.00
_cell_angle_gamma 90.00
_space_group_name_H-M_alt 'C m m m'
_space_group_IT_number 65
_space_group_name_Hall '-C 2 2'
loop_
_atom_site_label
_atom_site_type_symbol
_atom_site_fract_x
_atom_site_fract_y
_atom_site_fract_z
_atom_site_occupancy
Be1 Be 0.000 0.000 0.000 1
Nb1 Nb 0.000 0.159 0.500 1
Nb2 Nb 0.000 0.340 0.000 1
Nb3 Nb 0.000 0.500 0.500 1
# total DFT energy (no corrections): -8.96 eV/atom
# V: 204.17 Å³/cell
# crystal system: orthorhombic

# Tb2CdFe PBE relaxed
data_Tb2CdFe
_chemical_formula_sum 'Tb6 Cd3 Fe3'
_cell_length_a 3.6281
_cell_length_b 3.6281
_cell_length_c 29.7456
_cell_angle_alpha 90.00
_cell_angle_beta 90.00
_cell_angle_gamma 120.00
_space_group_name_H-M_alt 'R -3 m'
_space_group_IT_number 166
_space_group_name_Hall '-R 3 2"'
loop_
_atom_site_label
_atom_site_type_symbol
_atom_site_fract_x
_atom_site_fract_y
_atom_site_fract_z
_atom_site_occupancy
Tb1 Tb 0.0000 0.0000 0.1112 1
Cd1 Cd 0.0000 0.0000 0.0000 1
Fe1 Fe 0.0000 0.0000 0.5000 1
# total DFT energy (no corrections): -4.38 eV/atom
# V: 339.09 Å³/cell
# crystal system: trigonal
# energy above the lowest structure with this stoichiometry: 0.3836 eV/atom

# BeAlOF2 PBE relaxed
data_BeAlOF2
_chemical_formula_sum 'Be1 Al1 O1 F2'
_cell_length_a 3.771
_cell_length_b 3.771
_cell_length_c 3.649
_cell_angle_alpha 90.00
_cell_angle_beta 90.00
_cell_angle_gamma 90.00
_space_group_name_H-M_alt 'P 4/m m m'
_space_group_IT_number 123
_space_group_name_Hall '-P 4 2'
loop_
_atom_site_label
_atom_site_type_symbol
_atom_site_fract_x
_atom_site_fract_y
_atom_site_fract_z
_atom_site_occupancy
Be1 Be 0.000 0.000 0.000 1
Al1 Al 0.500 0.500 0.500 1
O1 O 0.500 0.500 0.000 1
F1 F 0.000 0.500 0.500 1
# total DFT energy (no corrections): -5.07 eV/atom
# V: 51.90 Å³/cell
# crystal system: tetragonal
# energy above the lowest structure with this stoichiometry: 0.1762 eV/atom